(1)
# PBE-GGA SmDyTm2Tl2, relaxed
# Crystal system ... orthorhombic
data_SmDyTm2Tl2
_symmetry_space_group_name_H-M 'P m c 21'
_symmetry_Int_Tables_number 26
_symmetry_space_group_name_Hall 'P 2c -2'
_cell_length_a 5.0932
_cell_length_b 9.9701
_cell_length_c 6.7825
_cell_angle_alpha 90.00
_cell_angle_beta 90.00
_cell_angle_gamma 90.00
loop_
_atom_site_label
_atom_site_type_symbol
_atom_site_fract_x
_atom_site_fract_y
_atom_site_fract_z
_atom_site_occupancy
Sm1 Sm 0.0000 0.0409 0.0000 1
Dy1 Dy 0.5000 0.1912 0.7213 1
Tm1 Tm 0.0000 0.3172 0.3753 1
Tm2 Tm 0.5000 0.4581 0.0910 1
Tl1 Tl 0.0000 0.3691 0.8372 1
Tl2 Tl 0.5000 0.1398 0.2573 1

(2)
# PBE-GGA MoPtAu4, relaxed
# Crystal system ... cubic
data_MoPtAu4
_symmetry_space_group_name_H-M 'F -4 3 m'
_symmetry_Int_Tables_number 216
_symmetry_space_group_name_Hall 'F -4 2 3'
_cell_length_a 7.6500
_cell_length_b 7.6500
_cell_length_c 7.6500
_cell_angle_alpha 90.00
_cell_angle_beta 90.00
_cell_angle_gamma 90.00
loop_
_atom_site_label
_atom_site_type_symbol
_atom_site_fract_x
_atom_site_fract_y
_atom_site_fract_z
_atom_site_occupancy
Mo1 Mo 0.0000 0.0000 0.0000 1
Pt1 Pt 0.2500 0.2500 0.7500 1
Au1 Au 0.1249 0.1249 0.3751 1

Number 1: formation energy from the elements -0.261 eV/atom, energy -4.094 eV/atom. Number 2: formation energy from the elements 0.522 eV/atom, energy -4.474 eV/atom.